(P)
Density functional theory data (PBE) for a relaxed LaRe2Os crystal.

## Properties
Spin magnetization = 0.16 μB/cell
Crystal system = trigonal

Structure (POSCAR):
```
LaRe2Os
1.0
1.4279 0.8244 10.0319
-1.4279 0.8244 10.0319
0.0000 -1.6488 10.0319
La Re Os
1 2 1
Cartesian
0.0000 0.0000 0.0000
0.0000 0.0000 7.1376
0.0000 0.0000 22.9579
0.0000 0.0000 15.0478
```

(Q)
Density functional theory data (PBE) for a relaxed LaRe2Os crystal.

## Properties
Spin magnetization = 0.00 μB/cell
Crystal system = monoclinic

Structure (POSCAR):
```
LaRe2Os
1.0
3.0161 0.0000 0.0000
0.0000 3.1203 0.0000
-0.1297 0.0000 7.8817
La Re Os
1 2 1
Cartesian
0.0000 0.0000 0.0000
0.0954 0.0000 3.9469
1.4218 1.5601 5.4583
1.4785 1.5601 2.3676
```

Least stable = (P)

(P)
Density functional theory data (PBE) for a relaxed LaReOs2 crystal.

## Properties
Spin magnetization = 0.30 μB/cell
Crystal system = trigonal

Structure (POSCAR):
```
LaReOs2
1.0
1.4226 0.8214 10.0051
-1.4226 0.8214 10.0051
0.0000 -1.6427 10.0051
La Re Os
1 1 2
Cartesian
0.0000 0.0000 0.0000
0.0000 0.0000 7.0793
0.0000 0.0000 14.9726
0.0000 0.0000 22.8481
```

(Q)
Density functional theory data (PBE) for a relaxed LaReOs2 crystal.

## Properties
Spin magnetization = 0.00 μB/cell
Crystal system = cubic

Structure (POSCAR):
```
LaReOs2
1.0
0.0000 3.3002 3.3002
3.3002 0.0000 3.3002
3.3002 3.3002 0.0000
La Re Os
1 1 2
Cartesian
0.0000 0.0000 0.0000
3.3002 3.3002 3.3002
1.6501 1.6501 1.6501
4.9503 4.9503 4.9503
```

Least stable = (Q)

(P)
Density functional theory data (PBE) for a relaxed LaReOs2 crystal.

## Properties
Spin magnetization = 0.00 μB/cell
Crystal system = orthorhombic

Structure (POSCAR):
```
LaReOs2
1.0
1.4912 -2.4032 0.0000
1.4912 2.4032 0.0000
0.0000 0.0000 9.6462
La Re Os
1 1 2
Cartesian
0.0000 0.0000 0.0000
0.0000 0.0000 4.8231
1.4912 0.0000 2.6526
1.4912 0.0000 6.9937
```

(Q)
Density functional theory data (PBE) for a relaxed LaReOs2 crystal.

## Properties
Spin magnetization = 0.00 μB/cell
Crystal system = orthorhombic

Structure (POSCAR):
```
LaReOs2
1.0
3.0500 0.0000 0.0000
0.0000 4.7542 0.0000
0.0000 0.0000 4.9223
La Re Os
1 1 2
Cartesian
0.0000 0.0000 0.0000
1.5250 0.0000 2.4612
0.0000 2.3771 2.4612
1.5250 2.3771 0.0000
```

(R)
Density functional theory data (PBE) for a relaxed LaReOs2 crystal.

## Properties
Spin magnetization = 0.00 μB/cell
Crystal system = tetragonal

Structure (POSCAR):
```
LaReOs2
1.0
-3.7282 3.7282 2.9849
3.7282 -3.7282 2.9849
3.7282 3.7282 -2.9849
La Re Os
2 2 4
Cartesian
0.0000 0.0000 0.0000
0.0000 3.7282 1.4924
3.7282 0.0000 1.4924
0.0000 0.0000 2.9849
1.8641 -1.4258 2.2387
2.3024 1.8641 0.7462
1.8641 5.1540 -0.7462
1.4258 1.8641 3.7311
```

(S)
Density functional theory data (PBE) for a relaxed LaReOs2 crystal.

## Properties
Spin magnetization = 0.00 μB/cell
Crystal system = orthorhombic

Structure (POSCAR):
```
LaReOs2
1.0
-1.4362 2.4496 5.1807
1.4362 -2.4496 5.1807
1.4362 2.4496 -5.1807
La Re Os
1 1 2
Cartesian
0.0000 0.0000 0.0000
0.0000 2.4496 2.2301
1.4362 0.0000 2.9056
0.0000 0.0000 5.1533
```

Least stable = (Q)